# 1
! RbZr3Ti | Alexandria via LeMat-Bulk | PBE | relaxed; values from VASP
&SYSTEM
  ibrav = 0, nat = 5, ntyp = 3
/
ATOMIC_SPECIES
Zr 91.22 Zr.upf
Rb 85.47 Rb.upf
Ti 47.87 Ti.upf
ATOMIC_POSITIONS crystal
Zr 0.000 0.500 0.000
Zr 0.500 0.000 0.000
Zr 0.000 0.000 0.500
Rb 0.500 0.500 0.500
Ti 0.000 0.000 0.000
CELL_PARAMETERS angstrom
5.250 0.000 0.000
0.000 5.250 0.000
0.000 0.000 5.250
! magnetic moment	0.00	μB per formula unit
! V	28.95	Å³ per atom
! polymorph energy (0 for the lowest one)	0.000	eV per formula unit
! energy relative to the elements	1059	meV per atom

=====

# 2
! RbZr3Ti | Alexandria via LeMat-Bulk | PBE | relaxed; values from VASP
&SYSTEM
  ibrav = 0, nat = 5, ntyp = 3
/
ATOMIC_SPECIES
Zr 91.22 Zr.upf
Rb 85.47 Rb.upf
Ti 47.87 Ti.upf
ATOMIC_POSITIONS crystal
Zr 0.500 0.000 0.000
Zr 0.000 0.500 0.000
Zr 0.000 0.000 0.500
Rb 0.000 0.000 0.000
Ti 0.500 0.500 0.500
CELL_PARAMETERS angstrom
-2.155 -1.492 -4.268
-0.790 -4.531 1.983
-4.452 1.526 1.714
! magnetic moment	0.00	μB per formula unit
! V	25.13	Å³ per atom
! polymorph energy (0 for the lowest one)	5.058	eV per formula unit
! energy relative to the elements	2070	meV per atom

=====

# 3
! Rb2ZrTi | Alexandria via LeMat-Bulk | PBE | relaxed; values from VASP
&SYSTEM
  ibrav = 0, nat = 8, ntyp = 3
/
ATOMIC_SPECIES
Rb 85.47 Rb.upf
Ti 47.87 Ti.upf
Zr 91.22 Zr.upf
ATOMIC_POSITIONS crystal
Rb 0.276 0.625 0.250
Rb 0.375 0.526 0.750
Rb 0.875 0.724 0.750
Rb 0.474 0.125 0.250
Ti 0.250 0.750 0.500
Ti 0.500 0.500 0.000
Zr 0.750 0.250 0.500
Zr 0.000 0.000 0.000
CELL_PARAMETERS angstrom
13.659 0.000 0.000
0.000 13.659 0.000
6.830 6.830 2.446
! magnetic moment	1.46	μB per formula unit
! V	57.03	Å³ per atom
! polymorph energy (0 for the lowest one)	0.000	eV per formula unit
! energy relative to the elements	1361	meV per atom

=====

# 4
! Rb2ZrTi | Alexandria via LeMat-Bulk | PBE | relaxed; values from VASP
&SYSTEM
  ibrav = 0, nat = 4, ntyp = 3
/
ATOMIC_SPECIES
Zr 91.22 Zr.upf
Rb 85.47 Rb.upf
Ti 47.87 Ti.upf
ATOMIC_POSITIONS crystal
Zr 0.500 0.500 0.500
Rb 0.750 0.750 0.750
Rb 0.250 0.250 0.250
Ti 0.000 0.000 0.000
CELL_PARAMETERS angstrom
0.000 4.127 4.127
4.127 0.000 4.127
4.127 4.127 0.000
! magnetic moment	0.00	μB per formula unit
! V	35.14	Å³ per atom
! polymorph energy (0 for the lowest one)	1.930	eV per formula unit
! energy relative to the elements	1843	meV per atom

=====

# 5
! Rb3Tl13 | Alexandria via LeMat-Bulk | PBE | relaxed; values from VASP
&SYSTEM
  ibrav = 0, nat = 16, ntyp = 2
/
ATOMIC_SPECIES
Tl 204.38 Tl.upf
Rb 85.47 Rb.upf
ATOMIC_POSITIONS crystal
Tl 0.720 0.744 0.000
Tl 0.256 0.280 0.000
Tl 0.725 0.718 0.500
Tl 0.278 0.722 0.500
Tl 0.722 0.278 0.500
Tl 0.267 0.733 0.000
Tl 0.012 0.510 0.735
Tl 0.492 0.508 0.754
Tl 0.492 0.508 0.246
Tl 0.490 0.988 0.735
Tl 0.282 0.275 0.500
Tl 0.490 0.988 0.265
Tl 0.012 0.510 0.265
Rb 0.741 0.259 0.000
Rb 0.009 0.991 0.735
Rb 0.009 0.991 0.265
CELL_PARAMETERS angstrom
-7.350 -3.550 0.475
1.113 -0.958 8.043
-3.470 7.368 1.358
! magnetic moment	0.00	μB per formula unit
! V	34.49	Å³ per atom
! energy relative to the elements	-22	meV per atom

=====

# 6
! Rb2Tl | Alexandria via LeMat-Bulk | PBE | relaxed; values from VASP
&SYSTEM
  ibrav = 0, nat = 6, ntyp = 2
/
ATOMIC_SPECIES
Tl 204.38 Tl.upf
Rb 85.47 Rb.upf
ATOMIC_POSITIONS crystal
Tl 0.000 0.000 0.000
Tl 0.250 0.250 0.250
Rb 0.625 0.625 0.625
Rb 0.625 0.625 0.125
Rb 0.125 0.625 0.625
Rb 0.625 0.125 0.625
CELL_PARAMETERS angstrom
7.830 0.000 0.000
3.915 6.781 0.000
3.915 2.260 6.393
! magnetic moment	0.00	μB per formula unit
! V	56.57	Å³ per atom
! polymorph energy (0 for the lowest one)	0.875	eV per formula unit
! energy relative to the elements	270	meV per atom

=====

# 7
! Rb6Tl23 | Alexandria via LeMat-Bulk | PBE | relaxed; values from VASP
&SYSTEM
  ibrav = 0, nat = 29, ntyp = 2
/
ATOMIC_SPECIES
Tl 204.38 Tl.upf
Rb 85.47 Rb.upf
ATOMIC_POSITIONS crystal
Tl 0.872 0.376 0.376
Tl 0.000 0.000 0.500
Tl 0.827 0.519 0.827
Tl 0.500 0.000 0.000
Tl 0.519 0.827 0.827
Tl 0.173 0.173 0.173
Tl 0.827 0.827 0.519
Tl 0.376 0.376 0.376
Tl 0.376 0.872 0.376
Tl 0.376 0.376 0.872
Tl 0.481 0.173 0.173
Tl 0.624 0.624 0.624
Tl 0.500 0.500 0.500
Tl 0.500 0.500 0.000
Tl 0.500 0.000 0.500
Tl 0.000 0.500 0.500
Tl 0.173 0.173 0.481
Tl 0.173 0.481 0.173
Tl 0.128 0.624 0.624
Tl 0.827 0.827 0.827
Tl 0.624 0.624 0.128
Tl 0.624 0.128 0.624
Tl 0.000 0.500 0.000
Rb 0.786 0.214 0.214
Rb 0.786 0.786 0.214
Rb 0.214 0.786 0.214
Rb 0.214 0.786 0.786
Rb 0.214 0.214 0.786
Rb 0.786 0.214 0.786
CELL_PARAMETERS angstrom
9.915 0.000 5.724
3.305 9.348 5.724
0.000 0.000 11.449
! magnetic moment	0.00	μB per formula unit
! V	36.59	Å³ per atom
! energy relative to the elements	-65	meV per atom

=====

# 8
! RbTl6 | Alexandria via LeMat-Bulk | PBE | relaxed; values from VASP
&SYSTEM
  ibrav = 0, nat = 28, ntyp = 2
/
ATOMIC_SPECIES
Tl 204.38 Tl.upf
Rb 85.47 Rb.upf
ATOMIC_POSITIONS crystal
Tl 0.750 0.691 0.265
Tl 0.250 0.396 0.975
Tl 0.986 0.563 0.811
Tl 0.250 0.562 0.590
Tl 0.750 0.104 0.475
Tl 0.250 0.896 0.525
Tl 0.014 0.937 0.311
Tl 0.750 0.191 0.235
Tl 0.750 0.859 0.851
Tl 0.486 0.437 0.189
Tl 0.250 0.062 0.910
Tl 0.250 0.309 0.735
Tl 0.514 0.563 0.811
Tl 0.486 0.937 0.311
Tl 0.750 0.359 0.649
Tl 0.750 0.938 0.090
Tl 0.514 0.063 0.689
Tl 0.014 0.437 0.189
Tl 0.250 0.641 0.351
Tl 0.250 0.809 0.765
Tl 0.750 0.604 0.025
Tl 0.750 0.438 0.410
Tl 0.250 0.141 0.149
Tl 0.986 0.063 0.689
Rb 0.750 0.243 0.936
Rb 0.750 0.743 0.564
Rb 0.250 0.757 0.064
Rb 0.250 0.257 0.436
CELL_PARAMETERS angstrom
6.957 0.000 0.000
0.000 10.550 0.000
0.000 0.000 13.278
! magnetic moment	0.00	μB per formula unit
! V	34.81	Å³ per atom
! polymorph energy (0 for the lowest one)	0.000	eV per formula unit
! energy relative to the elements	-43	meV per atom

=====

# 9
! RbTl6 | Alexandria via LeMat-Bulk | PBE | relaxed; values from VASP
&SYSTEM
  ibrav = 0, nat = 7, ntyp = 2
/
ATOMIC_SPECIES
Tl 204.38 Tl.upf
Rb 85.47 Rb.upf
ATOMIC_POSITIONS crystal
Tl 0.500 0.197 0.500
Tl 0.197 0.500 0.500
Tl 0.500 0.803 0.500
Tl 0.500 0.500 0.803
Tl 0.803 0.500 0.500
Tl 0.500 0.500 0.197
Rb 0.000 0.000 0.000
CELL_PARAMETERS angstrom
7.418 0.000 0.000
0.000 7.418 0.000
0.000 0.000 7.418
! magnetic moment	0.00	μB per formula unit
! V	58.31	Å³ per atom
! polymorph energy (0 for the lowest one)	2.110	eV per formula unit
! energy relative to the elements	259	meV per atom

=====

# 10
! Rb2Tl | Alexandria via LeMat-Bulk | PBE | relaxed; values from VASP
&SYSTEM
  ibrav = 0, nat = 6, ntyp = 2
/
ATOMIC_SPECIES
Rb 85.47 Rb.upf
Tl 204.38 Tl.upf
ATOMIC_POSITIONS crystal
Rb 0.174 0.301 0.350
Rb 0.826 0.699 0.650
Rb 0.525 0.141 0.810
Rb 0.475 0.859 0.190
Tl 0.191 0.656 0.963
Tl 0.809 0.344 0.037
CELL_PARAMETERS angstrom
-2.849 1.460 3.275
-7.373 -1.426 -2.576
-4.080 -9.355 3.822
! magnetic moment	0.00	μB per formula unit
! V	57.92	Å³ per atom
! polymorph energy (0 for the lowest one)	0.000	eV per formula unit
! energy relative to the elements	-22	meV per atom

=====

# 11
! Rb4Tl | Alexandria via LeMat-Bulk | PBE | relaxed; values from VASP
&SYSTEM
  ibrav = 0, nat = 5, ntyp = 2
/
ATOMIC_SPECIES
Rb 85.47 Rb.upf
Tl 204.38 Tl.upf
ATOMIC_POSITIONS crystal
Rb 0.000 0.000 0.000
Rb 0.500 0.500 0.000
Rb 0.500 0.000 0.500
Rb 0.000 0.500 0.500
Tl 0.500 0.500 0.500
CELL_PARAMETERS angstrom
-5.839 -1.896 4.022
1.288 -7.075 -1.466
4.256 -0.461 5.962
! magnetic moment	0.00	μB per formula unit
! V	79.07	Å³ per atom
! polymorph energy (0 for the lowest one)	0.280	eV per formula unit
! energy relative to the elements	52	meV per atom

=====

# 12
! Rb4Tl | Alexandria via LeMat-Bulk | PBE | relaxed; values from VASP
&SYSTEM
  ibrav = 0, nat = 10, ntyp = 2
/
ATOMIC_SPECIES
Tl 204.38 Tl.upf
Rb 85.47 Rb.upf
ATOMIC_POSITIONS crystal
Tl 0.250 0.000 0.000
Tl 0.750 0.000 0.000
Rb 0.922 0.243 0.845
Rb 0.170 0.313 0.340
Rb 0.078 0.757 0.155
Rb 0.578 0.398 0.155
Rb 0.670 0.027 0.340
Rb 0.330 0.973 0.660
Rb 0.422 0.602 0.845
Rb 0.830 0.687 0.660
CELL_PARAMETERS angstrom
7.383 0.000 -2.593
-1.295 8.720 -3.686
-0.190 -0.502 11.264
! magnetic moment	0.00	μB per formula unit
! V	70.55	Å³ per atom
! polymorph energy (0 for the lowest one)	0.000	eV per formula unit
! energy relative to the elements	-5	meV per atom

=====

# 13
! Rb3Tl4 | Alexandria via LeMat-Bulk | PBE | relaxed; values from VASP
&SYSTEM
  ibrav = 0, nat = 7, ntyp = 2
/
ATOMIC_SPECIES
Tl 204.38 Tl.upf
Rb 85.47 Rb.upf
ATOMIC_POSITIONS crystal
Tl 0.934 0.434 0.868
Tl 0.630 0.630 0.261
Tl 0.066 0.566 0.132
Tl 0.370 0.370 0.739
Rb 0.194 0.194 0.388
Rb 0.500 0.000 0.000
Rb 0.806 0.806 0.612
CELL_PARAMETERS angstrom
-5.059 -2.037 -0.766
-0.213 -1.107 4.353
-2.206 12.629 0.782
! magnetic moment	0.00	μB per formula unit
! V	43.66	Å³ per atom
! energy relative to the elements	-26	meV per atom

=====

# 14
! Rb3Tl11 | Alexandria via LeMat-Bulk | PBE | relaxed; values from VASP
&SYSTEM
  ibrav = 0, nat = 14, ntyp = 2
/
ATOMIC_SPECIES
Tl 204.38 Tl.upf
Rb 85.47 Rb.upf
ATOMIC_POSITIONS crystal
Tl 0.665 0.698 0.972
Tl 0.140 0.582 0.138
Tl 0.000 0.500 0.500
Tl 0.335 0.028 0.302
Tl 0.860 0.418 0.862
Tl 0.860 0.862 0.418
Tl 0.665 0.972 0.698
Tl 0.140 0.138 0.582
Tl 0.500 0.687 0.313
Tl 0.335 0.302 0.028
Tl 0.500 0.313 0.687
Rb 0.697 0.303 0.303
Rb 0.303 0.697 0.697
Rb 0.000 0.000 0.000
CELL_PARAMETERS angstrom
-4.727 -1.001 -2.362
2.340 -3.906 -9.151
-1.166 -10.142 0.506
! magnetic moment	0.00	μB per formula unit
! V	36.10	Å³ per atom
! energy relative to the elements	-59	meV per atom

=====

# 15
! Rb2Tl | Alexandria via LeMat-Bulk | PBE | relaxed; values from VASP
&SYSTEM
  ibrav = 0, nat = 3, ntyp = 2
/
ATOMIC_SPECIES
Rb 85.47 Rb.upf
Tl 204.38 Tl.upf
ATOMIC_POSITIONS crystal
Rb 0.635 0.635 0.270
Rb 0.365 0.365 0.730
Tl 0.000 0.000 0.000
CELL_PARAMETERS angstrom
-0.622 3.490 2.880
-4.462 0.009 -0.975
1.181 -7.098 5.235
! magnetic moment	0.25	μB per formula unit
! V	57.66	Å³ per atom
! polymorph energy (0 for the lowest one)	0.149	eV per formula unit
! energy relative to the elements	28	meV per atom

=====

# 16
! Rb5Tl9 | Alexandria via LeMat-Bulk | PBE | relaxed; values from VASP
&SYSTEM
  ibrav = 0, nat = 42, ntyp = 2
/
ATOMIC_SPECIES
Tl 204.38 Tl.upf
Rb 85.47 Rb.upf
ATOMIC_POSITIONS crystal
Tl 0.667 0.333 0.657
Tl 0.000 0.000 0.851
Tl 0.000 0.000 0.149
Tl 0.382 0.382 0.602
Tl 0.000 0.618 0.602
Tl 0.618 0.000 0.602
Tl 0.174 0.463 0.500
Tl 0.000 0.618 0.398
Tl 0.667 0.333 0.343
Tl 0.285 0.000 0.091
Tl 0.214 0.214 0.000
Tl 0.000 0.786 0.000
Tl 0.715 0.715 0.091
Tl 0.537 0.711 0.500
Tl 0.285 0.000 0.909
Tl 0.711 0.537 0.500
Tl 0.618 0.000 0.398
Tl 0.000 0.285 0.909
Tl 0.382 0.382 0.398
Tl 0.000 0.285 0.091
Tl 0.333 0.667 0.657
Tl 0.826 0.289 0.500
Tl 0.289 0.826 0.500
Tl 0.715 0.715 0.909
Tl 0.333 0.667 0.343
Tl 0.786 0.000 0.000
Tl 0.463 0.174 0.500
Rb 0.271 0.000 0.685
Rb 0.667 0.333 0.000
Rb 0.387 0.387 0.816
Rb 0.000 0.613 0.184
Rb 0.613 0.000 0.184
Rb 0.333 0.667 0.000
Rb 0.271 0.000 0.315
Rb 0.729 0.729 0.685
Rb 0.000 0.000 0.500
Rb 0.000 0.271 0.685
Rb 0.000 0.613 0.816
Rb 0.613 0.000 0.816
Rb 0.000 0.271 0.315
Rb 0.387 0.387 0.184
Rb 0.729 0.729 0.315
CELL_PARAMETERS angstrom
10.570 0.000 0.000
-5.285 9.154 0.000
0.000 0.000 18.050
! magnetic moment	0.00	μB per formula unit
! V	41.58	Å³ per atom
! energy relative to the elements	-115	meV per atom

=====

# 17
! Rb5Tl6 | Alexandria via LeMat-Bulk | PBE | relaxed; values from VASP
&SYSTEM
  ibrav = 0, nat = 11, ntyp = 2
/
ATOMIC_SPECIES
Tl 204.38 Tl.upf
Rb 85.47 Rb.upf
ATOMIC_POSITIONS crystal
Tl 0.175 0.944 0.761
Tl 0.175 0.705 0.239
Tl 0.856 0.880 0.000
Tl 0.144 0.120 0.000
Tl 0.825 0.056 0.239
Tl 0.825 0.295 0.761
Rb 0.500 0.500 0.000
Rb 0.000 0.656 0.688
Rb 0.500 0.183 0.633
Rb 0.500 0.817 0.367
Rb 0.000 0.344 0.312
CELL_PARAMETERS angstrom
-6.907 -5.227 -0.027
1.544 -7.810 4.267
-1.570 -0.843 8.586
! magnetic moment	0.00	μB per formula unit
! V	49.36	Å³ per atom
! energy relative to the elements	-65	meV per atom

=====

# 18
! RbTl8 | Alexandria via LeMat-Bulk | PBE | relaxed; values from VASP
&SYSTEM
  ibrav = 0, nat = 9, ntyp = 2
/
ATOMIC_SPECIES
Tl 204.38 Tl.upf
Rb 85.47 Rb.upf
ATOMIC_POSITIONS crystal
Tl 0.658 0.346 0.346
Tl 0.323 0.999 0.354
Tl 0.342 0.654 0.654
Tl 0.001 0.346 0.654
Tl 0.676 0.646 0.001
Tl 0.999 0.654 0.346
Tl 0.677 0.001 0.646
Tl 0.324 0.354 0.999
Rb 0.000 0.000 0.000
CELL_PARAMETERS angstrom
-1.747 -1.884 4.553
-2.733 -7.373 -1.076
5.927 -3.691 3.767
! magnetic moment	0.00	μB per formula unit
! V	32.56	Å³ per atom
! energy relative to the elements	-18	meV per atom

=====

# 19
! Rb5Tl4 | Alexandria via LeMat-Bulk | PBE | relaxed; values from VASP
&SYSTEM
  ibrav = 0, nat = 9, ntyp = 2
/
ATOMIC_SPECIES
Rb 85.47 Rb.upf
Tl 204.38 Tl.upf
ATOMIC_POSITIONS crystal
Rb 0.733 0.741 0.792
Rb 0.000 0.000 0.000
Rb 0.132 0.137 0.599
Rb 0.868 0.863 0.401
Rb 0.267 0.259 0.208
Tl 0.632 0.621 0.115
Tl 0.368 0.379 0.885
Tl 0.455 0.462 0.628
Tl 0.545 0.538 0.372
CELL_PARAMETERS angstrom
6.643 0.000 0.000
3.321 5.770 0.010
3.321 1.908 11.697
! magnetic moment	0.00	μB per formula unit
! V	49.80	Å³ per atom
! energy relative to the elements	-49	meV per atom

=====

# 20
! Rb3Tl2 | Alexandria via LeMat-Bulk | PBE | relaxed; values from VASP
&SYSTEM
  ibrav = 0, nat = 10, ntyp = 2
/
ATOMIC_SPECIES
Tl 204.38 Tl.upf
Rb 85.47 Rb.upf
ATOMIC_POSITIONS crystal
Tl 0.808 0.808 0.576
Tl 0.192 0.192 0.424
Tl 0.308 0.308 0.076
Tl 0.692 0.692 0.924
Rb 0.250 0.661 0.250
Rb 0.161 0.750 0.750
Rb 0.339 0.161 0.750
Rb 0.661 0.839 0.250
Rb 0.839 0.250 0.250
Rb 0.750 0.339 0.750
CELL_PARAMETERS angstrom
8.831 0.000 0.000
4.415 7.648 0.000
4.415 2.549 8.573
! magnetic moment	0.00	μB per formula unit
! V	57.90	Å³ per atom
! energy relative to the elements	21	meV per atom